(1)
TbSmSe3: optimized geometry, PBE.

The calculation puts the total energy at -5.7802 eV per atom.

The space group is C2/m (No. 12) and the conventional cell measures 16.702, 4.352 and 8.875 Å, with angles of 90.00, 118.69 and 90.00 degrees. The inequivalent atoms are Tb at (0.151, 0.000, 0.260), Sm at (0.125, 0.500, 0.785), Se at (0.044, 0.000, 0.868), Se at (0.141, 0.500, 0.468) and Se at (0.236, 0.500, 0.158).

(2)
Tb3SmSe4: optimized geometry, PBE.

The calculation puts the total energy at -5.8514 eV per atom.

The space group is R-3m (No. 166, hexagonal axes) and the conventional cell measures 4.1142, 4.1142 and 40.3442 Å, with angles of 90.00, 90.00 and 120.00 degrees. The inequivalent atoms are Tb at (0.0000, 0.0000, 0.0000), Tb at (0.0000, 0.0000, 0.2507), Sm at (0.0000, 0.0000, 0.5000), Se at (0.0000, 0.0000, 0.1233) and Se at (0.0000, 0.0000, 0.3746).

(3)
Tb2Sm6Se3: optimized geometry, PBE.

The calculation puts the total energy at -5.2648 eV per atom.

The space group is R-3m (No. 166, hexagonal axes) and the conventional cell measures 3.8747, 3.8747 and 76.8914 Å, with angles of 90.00, 90.00 and 120.00 degrees. The inequivalent atoms are Tb at (0.0000, 0.0000, 0.0556), Sm at (0.0000, 0.0000, 0.1421), Sm at (0.0000, 0.0000, 0.3148), Sm at (0.0000, 0.0000, 0.4263), Se at (0.0000, 0.0000, 0.2155) and Se at (0.0000, 0.0000, 0.5000).

(4)
TbSm4Se6: optimized geometry, PBE.

The calculation puts the total energy at -5.8793 eV per atom.

The space group is Cmcm (No. 63) and the conventional cell measures 4.052, 13.704 and 21.119 Å, with angles of 90.00, 90.00 and 90.00 degrees. The inequivalent atoms are Tb at (0.000, 0.153, 0.250), Sm at (0.000, 0.088, 0.628), Sm at (0.000, 0.359, 0.539), Se at (0.000, 0.000, 0.000), Se at (0.000, 0.195, 0.750), Se at (0.000, 0.270, 0.091) and Se at (0.000, 0.445, 0.669).

(5)
TbSmSe: optimized geometry, PBE.

The calculation puts the total energy at -5.3927 eV per atom.

The space group is P3m1 (No. 156) and the conventional cell measures 3.9097, 3.9097 and 6.6371 Å, with angles of 90.00, 90.00 and 120.00 degrees. The inequivalent atoms are Tb at (0.0000, 0.0000, 0.0000), Sm at (0.3333, 0.6667, 0.5547) and Se at (0.6667, 0.3333, 0.2714).

(6)
Tb4SmSe7: optimized geometry, PBE.

The calculation puts the total energy at -5.8364 eV per atom.

The space group is Cm (No. 8) and the conventional cell measures 13.527, 3.998 and 12.281 Å, with angles of 90.00, 104.37 and 90.00 degrees. The inequivalent atoms are Tb at (0.000, 0.000, 0.000), Tb at (0.088, 0.500, 0.393), Tb at (0.187, 0.000, 0.766), Tb at (0.387, 0.500, 0.581), Sm at (0.274, 0.500, 0.158), Se at (0.047, 0.500, 0.630), Se at (0.127, 0.500, 0.928), Se at (0.142, 0.000, 0.229), Se at (0.228, 0.000, 0.530), Se at (0.346, 0.500, 0.795), Se at (0.388, 0.000, 0.077) and Se at (0.429, 0.500, 0.367).

(7)
TbSm4Se4: optimized geometry, PBE.

The calculation puts the total energy at -5.7294 eV per atom.

The space group is I4/m (No. 87) and the conventional cell measures 9.166, 9.166 and 5.867 Å, with angles of 90.00, 90.00 and 90.00 degrees. The inequivalent atoms are Tb at (0.000, 0.000, 0.000), Sm at (0.100, 0.703, 0.500) and Se at (0.096, 0.701, 0.000).

(8)
Tb2Sm3Se6: optimized geometry, PBE.

The calculation puts the total energy at -5.8420 eV per atom.

The space group is R-3m (No. 166, hexagonal axes) and the conventional cell measures 4.1689, 4.1689 and 61.5888 Å, with angles of 90.00, 90.00 and 120.00 degrees. The inequivalent atoms are Tb at (0.0000, 0.0000, 0.0530), Sm at (0.0000, 0.0000, 0.2212), Sm at (0.0000, 0.0000, 0.5000), Se at (0.0000, 0.0000, 0.1391), Se at (0.0000, 0.0000, 0.3028) and Se at (0.0000, 0.0000, 0.4164).

(9)
TbSmSe3: optimized geometry, PBE.

The calculation puts the total energy at -5.8233 eV per atom.

The space group is P2_1/m (No. 11) and the conventional cell measures 8.155, 4.103 and 8.246 Å, with angles of 90.00, 94.59 and 90.00 degrees. The inequivalent atoms are Tb at (0.145, 0.250, 0.180), Sm at (0.382, 0.750, 0.731), Se at (0.106, 0.250, 0.820), Se at (0.319, 0.250, 0.480) and Se at (0.377, 0.750, 0.112).

(10)
TbSm3Se4: optimized geometry, PBE.

The calculation puts the total energy at -5.8947 eV per atom.

The space group is Cmmm (No. 65) and the conventional cell measures 8.404, 11.755 and 4.104 Å, with angles of 90.00, 90.00 and 90.00 degrees. The inequivalent atoms are Tb at (0.000, 0.000, 0.000), Sm at (0.000, 0.500, 0.000), Sm at (0.250, 0.250, 0.500), Se at (0.000, 0.248, 0.000) and Se at (0.245, 0.000, 0.500).